## VAs2Pt (PBE)

Data for VAs2Pt after structural relaxation.

## Properties
Space group: R-3m
Calculated total energy (eV/atom): -6.359
Crystal system: trigonal
Volume (Å³/cell): 66.33

Structure (POSCAR):
```
VAs2Pt
1.0
3.0228 0.0000 0.0000
1.5114 2.6178 0.0000
1.5114 0.8726 8.3817
As Pt V
2 1 1
Cartesian
1.5114 0.8726 5.9600 As
4.5342 2.6178 2.4217 As
0.0000 0.0000 0.0000 Pt
3.0228 1.7452 4.1909 V
```